# 1
The following is a DFT calculation (PBE) of an optimized crystal structure of Pu4PBr5.

For the raw formation energy, the calculation gives -1.30 eV/atom. The energy above the most stable polymorph in this dataset comes out at 0.00 eV per formula unit. The value obtained for the spin magnetization is 0.31 μB/f.u.

Lattice parameters (Å, degrees): 9.246 9.246 8.386 101.51 101.51 25.23
Positions (direct):
Pu 0.001 0.001 0.230
Pu 0.342 0.342 0.932
Pu 0.658 0.658 0.068
Pu 0.999 0.999 0.770
P 0.500 0.500 0.000
Br 0.167 0.167 0.330
Br 0.170 0.170 0.814
Br 0.500 0.500 0.500
Br 0.830 0.830 0.186
Br 0.833 0.833 0.670


# 2
The following is a DFT calculation (PBE) of an optimized crystal structure of Cs2Na4Pd.

The calculation puts the formation energy at 0.36 eV per formula unit. The value obtained for the spin magnetization is 0.00 μB/f.u.

Lattice parameters (Å, degrees): 11.267 11.267 11.267 149.86 149.86 43.15
Positions (direct):
Cs 0.154 0.154 0.000
Cs 0.846 0.846 0.000
Na 0.000 0.500 0.500
Na 0.368 0.368 0.000
Na 0.500 0.000 0.500
Na 0.632 0.632 0.000
Pd 0.500 0.500 0.000


# 3
The following is a DFT calculation (PBE) of an optimized crystal structure of AcAl2InAu4.

The calculation puts the formation energy at -4.01 eV per formula unit. The value obtained for the spin magnetization is 0.00 μB/f.u.

Lattice parameters (Å, degrees): 10.513 10.513 10.513 24.44 24.44 24.44
Positions (direct):
Ac 0.000 0.000 0.000
Al 0.243 0.243 0.243
Al 0.757 0.757 0.757
In 0.500 0.500 0.500
Au 0.120 0.120 0.120
Au 0.398 0.398 0.398
Au 0.602 0.602 0.602
Au 0.880 0.880 0.880


# 4
The following is a DFT calculation (PBE) of an optimized crystal structure of CsHfGa.

The calculation puts the formation energy at 1.43 eV per formula unit. The energy above the most stable polymorph in this dataset comes out at 0.98 eV per formula unit. The value obtained for the spin magnetization is 0.00 μB/f.u.

Lattice parameters (Å, degrees): 9.405 4.281 11.669 90.00 90.00 90.00
Positions (direct):
Cs 0.026 0.250 0.166
Cs 0.474 0.750 0.666
Cs 0.526 0.250 0.334
Cs 0.974 0.750 0.834
Hf 0.091 0.250 0.539
Hf 0.409 0.750 0.039
Hf 0.591 0.250 0.961
Hf 0.909 0.750 0.461
Ga 0.184 0.750 0.401
Ga 0.316 0.250 0.901
Ga 0.684 0.750 0.099
Ga 0.816 0.250 0.599


# 5
The following is a DFT calculation (PBE) of an optimized crystal structure of Tl2AgRu.

The calculation puts the formation energy at 2.27 eV per formula unit. The energy above the most stable polymorph in this dataset comes out at 0.74 eV per formula unit. The value obtained for the spin magnetization is 1.35 μB/f.u.

Lattice parameters (Å, degrees): 9.934 9.934 9.934 18.49 18.49 18.49
Positions (direct):
Tl 0.000 0.000 0.000
Tl 0.235 0.235 0.235
Ag 0.482 0.482 0.482
Ru 0.742 0.742 0.742


# 6
The following is a DFT calculation (PBE) of an optimized crystal structure of AlHgOs2.

The calculation puts the formation energy at 1.87 eV per formula unit. The energy above the most stable polymorph in this dataset comes out at 1.07 eV per formula unit. The value obtained for the spin magnetization is 0.00 μB/f.u.

Lattice parameters (Å, degrees): 2.825 3.813 6.063 90.00 90.00 90.00
Positions (direct):
Al 0.000 0.000 0.000
Hg 0.000 0.000 0.500
Os 0.500 0.500 0.201
Os 0.500 0.500 0.799